A plane-wave DFT calculation with PBE was carried out for TlGeAs2 after structural relaxation.

Summary:
Calculated volume: 354.0 Å³/cell
Excess energy over the best structure of this formula in the dataset: 286 meV/atom
Mass density: 8.0 Mg/m³

```
data_TlGeAs2
_chemical_formula_sum 'Tl4 Ge4 As8'
_symmetry_space_group_name_H-M 'F m -3 m'
_symmetry_Int_Tables_number 225
_symmetry_space_group_name_Hall '-F 4 2 3'
_cell_length_a 7.074
_cell_length_b 7.074
_cell_length_c 7.074
_cell_angle_alpha 90.00
_cell_angle_beta 90.00
_cell_angle_gamma 90.00
loop_
_atom_site_label
_atom_site_fract_x
_atom_site_fract_y
_atom_site_fract_z
_atom_site_occupancy
Tl1 0.000 0.000 0.000 1
Ge1 0.000 0.000 0.500 1
As1 0.250 0.250 0.250 1
```